# CsNa2Li

A geometry-optimized CsNa2Li structure (GGA-PBE, Alexandria via LeMat-Bulk).

density of states at the Fermi level: 2.595 states/eV/cell
energy of formation from the pure elements: 0.09 eV/atom
polymorph energy (0 for the lowest one): 1 meV/atom

Unit cell a=5.846 b=5.846 c=7.915 alpha=68.33 beta=68.33 gamma=60.00
Fractional positions:
Na 0.304 0.304 0.089
Na 0.011 0.011 0.966
Cs 0.497 0.497 0.508
Li 0.688 0.688 0.937